Record 1
Density functional theory data (meta-GGA SCAN) for SrCaY2 at its PBEsol-relaxed geometry.

Structure (CIF):
```
data_SrCaY2
_chemical_formula_sum 'Sr1 Ca1 Y2'
_cell_length_a 4.0081
_cell_length_b 5.8986
_cell_length_c 6.0912
_cell_angle_alpha 90.00
_cell_angle_beta 90.00
_cell_angle_gamma 90.00
_symmetry_space_group_name_H-M 'P 1'
_symmetry_Int_Tables_number 1
loop_
_symmetry_equiv_pos_as_xyz
'x,y,z'
loop_
_atom_site_label
_atom_site_fract_x
_atom_site_fract_y
_atom_site_fract_z
Sr1 0.0000 0.5000 0.5000
Ca1 0.5000 0.0000 0.5000
Y1 0.0000 0.0000 0.0000
Y2 0.5000 0.5000 0.0000
```

As for the space group: Pmmm (47). The formation energy comes out at 84 kJ/mol of formula units. The energy relative to the lowest polymorph listed for this composition comes out at 117.2 meV per atom.

Record 2
Density functional theory data (meta-GGA SCAN) for TaFeAu2 at its PBEsol-relaxed geometry.

Structure (CIF):
```
data_TaFeAu2
_chemical_formula_sum 'Ta1 Fe1 Au2'
_cell_length_a 2.7788
_cell_length_b 2.7788
_cell_length_c 8.1215
_cell_angle_alpha 90.00
_cell_angle_beta 90.00
_cell_angle_gamma 93.86
_symmetry_space_group_name_H-M 'P 1'
_symmetry_Int_Tables_number 1
loop_
_symmetry_equiv_pos_as_xyz
'x,y,z'
loop_
_atom_site_label
_atom_site_fract_x
_atom_site_fract_y
_atom_site_fract_z
Au1 0.0000 0.0000 0.0044
Au2 0.5000 0.5000 0.7285
Ta1 0.5000 0.5000 0.2654
Fe1 0.0000 0.0000 0.5017
```

As for the space group: Cmm2 (35). The formation energy comes out at -13 kJ/mol of formula units. The energy relative to the lowest polymorph listed for this composition comes out at 0.0 meV per atom.

Record 3
Density functional theory data (meta-GGA SCAN) for ZnRe2Ag at its PBEsol-relaxed geometry.

Structure (CIF):
```
data_ZnRe2Ag
_chemical_formula_sum 'Zn1 Re2 Ag1'
_cell_length_a 2.7148
_cell_length_b 2.7148
_cell_length_c 9.3638
_cell_angle_alpha 81.66
_cell_angle_beta 81.66
_cell_angle_gamma 60.00
_symmetry_space_group_name_H-M 'P 1'
_symmetry_Int_Tables_number 1
loop_
_symmetry_equiv_pos_as_xyz
'x,y,z'
loop_
_atom_site_label
_atom_site_fract_x
_atom_site_fract_y
_atom_site_fract_z
Re1 0.7534 0.7534 0.7397
Re2 0.2466 0.2466 0.2603
Ag1 0.0000 0.0000 0.0000
Zn1 0.5000 0.5000 0.5000
```

As for the space group: R-3m (166). The formation energy comes out at 164 kJ/mol of formula units.